A plane-wave DFT calculation with PBE-GGA was carried out for an optimized crystal structure of MgZnSi2.

a b c (Å): 2.7823 2.7823 29.3086
angles (deg): 90.00 90.00 120.00
With the nearest neighbours (Å) after each atom.
Space group R-3m (No. 166, hexagonal axes)
Unique sites:
Mg 0.0000 0.0000 0.0000 (multiplicity 3)  6 Mg 2.78, 6 Si 2.95
Zn 0.0000 0.0000 0.5000 (multiplicity 3)  6 Zn 2.78, 6 Si 2.89
Si 0.0000 0.0000 0.2488 (multiplicity 6)  6 Si 2.78, 3 Zn 2.89, 3 Mg 2.95

For the calculated density, the calculation gives 3.7 g cm⁻³. Its total energy is -3.152 eV per atom. As for the total magnetization: 0.00 μB per formula unit.